Compound: Tm3SbH3
Source: the Alexandria database
Functional: PBE
Structure: optimized geometry

Summary:
* total magnetization: 0.00 μB/cell
* V: 16.2 Å³ per atom
* space group: Pm-3n
* energy: -4.549 eV per atom
* crystal system: cubic

Unit cell a=6.100 b=6.100 c=6.100 alpha=90.00 beta=90.00 gamma=90.00
Fractional coordinates of all 14 atoms:
H  0.500  0.750  0.000
H  0.000  0.500  0.750
Tm  0.000  0.750  0.500
Sb  0.000  0.000  0.000
H  0.750  0.000  0.500
Tm  0.250  0.500  0.000
Sb  0.500  0.500  0.500
Tm  0.000  0.250  0.500
H  0.000  0.500  0.250
Tm  0.750  0.500  0.000
H  0.500  0.250  0.000
H  0.250  0.000  0.500
Tm  0.500  0.000  0.750
Tm  0.500  0.000  0.250

---

Compound: RbNdBiO3
Source: the Alexandria database
Functional: PBE
Structure: optimized geometry

Summary:
* total magnetization: 0.00 μB/cell
* V: 24.7 Å³ per atom
* energy relative to the elements, uncorrected: -1.91 eV/atom
* space group: P2_1/m
* crystal system: monoclinic

Unit cell a=3.709 b=7.042 c=11.706 alpha=103.76 beta=90.00 gamma=90.00
Fractional coordinates of all 12 atoms:
Bi  0.750  0.834  0.380
O  0.750  0.881  0.195
O  0.750  0.338  0.672
O  0.250  0.119  0.805
Rb  0.750  0.762  0.763
Rb  0.250  0.238  0.237
Nd  0.750  0.338  0.885
O  0.250  0.563  0.912
O  0.250  0.662  0.328
Nd  0.250  0.662  0.115
O  0.750  0.437  0.088
Bi  0.250  0.166  0.620

---

Compound: Ti2SnCl
Source: the Alexandria database
Functional: PBE
Structure: optimized geometry

Summary:
* total magnetization: 5.34 μB/cell
* V: 24.0 Å³ per atom
* energy relative to the elements, uncorrected: 0.13 eV/atom
* space group: I-42d
* E above lowest polymorph: 0.276 eV/atom
* crystal system: tetragonal

Unit cell a=5.083 b=5.083 c=8.256 alpha=72.07 beta=72.07 gamma=90.00
Site moments in Bohr magnetons follow the coordinates.
Fractional coordinates of all 8 atoms:
Ti  0.200  0.625  0.250  1.08
Ti  0.375  0.450  0.750  1.09
Sn  0.750  0.250  0.500  -0.04
Ti  0.550  0.125  0.250  1.09
Cl  0.250  0.750  0.500  -0.03
Cl  0.500  0.500  0.000  -0.03
Ti  0.875  0.800  0.750  1.10
Sn  0.000  0.000  0.000  -0.04

---

Compound: Cd2C
Source: the Alexandria database
Functional: PBE
Structure: optimized geometry

Summary:
* total magnetization: 0.00 μB/cell
* V: 17.2 Å³ per atom
* ΔE_f: 1143 meV per atom
* space group: Fm-3m
* E above lowest polymorph: 0.400 eV/atom
* crystal system: cubic

Unit cell a=4.181 b=4.181 c=4.181 alpha=59.95 beta=59.95 gamma=59.95
Fractional coordinates of all 3 atoms:
Cd  0.750  0.750  0.750
C  0.000  0.000  0.000
Cd  0.250  0.250  0.250